La3ZrV | Alexandria | PBE-GGA | optimized geometry; energy of formation = 0.9280 eV/atom; relative energy among the computed polymorphs = 0.231 eV per atom
1.0
5.676 0.000 0.000
0.000 5.676 0.000
0.000 0.000 5.676
Zr V La
1 1 3
Direct
0.000 0.000 0.000 Zr
0.500 0.500 0.500 V
0.500 0.000 0.000 La
0.000 0.000 0.500 La
0.000 0.500 0.000 La


V2InSe6 | Alexandria | PBE-GGA | optimized geometry; formation energy from raw total energies = -0.40 eV/atom
1.0
-2.049 2.231 5.270
-5.081 -3.285 -0.585
4.999 -8.738 5.643
Se In V
12 2 4
Direct
0.824 0.176 0.000 Se
0.792 0.208 0.317 Se
0.292 0.292 0.183 Se
0.176 0.824 0.000 Se
0.208 0.792 0.683 Se
0.708 0.708 0.183 Se
0.292 0.292 0.817 Se
0.208 0.792 0.317 Se
0.792 0.208 0.683 Se
0.676 0.676 0.500 Se
0.708 0.708 0.817 Se
0.324 0.324 0.500 Se
0.000 0.000 0.500 In
0.500 0.500 0.000 In
0.500 0.500 0.672 V
0.500 0.500 0.328 V
0.000 0.000 0.172 V
0.000 0.000 0.828 V